# 1
CsTlH2F8 after structural relaxation. Source: Alexandria, functional PBE.

Unit cell a=4.564 b=4.570 c=8.756 alpha=84.37 beta=84.35 gamma=69.42
Sites, in units of the cell vectors:
1 H 0.477 0.477 0.209
2 F 0.729 0.729 0.996
3 F 0.747 0.303 0.783
4 F 0.253 0.697 0.217
5 F 0.303 0.746 0.782
6 Tl 0.000 0.000 0.000
7 F 0.732 0.732 0.452
8 F 0.697 0.254 0.218
9 Cs 0.000 0.000 0.500
10 F 0.268 0.268 0.548
11 F 0.271 0.271 0.004
12 H 0.523 0.523 0.791

Values from the calculation:
The value obtained for the total magnetic moment is 0.00 μB/f.u. The calculation puts the total energy at -3.591 eV per atom. As for the space-group type: C2/m. The volume comes out at 169.7 Å³/cell.

---

# 2
Li2Hg2Ge after structural relaxation. Source: Alexandria, functional PBE.

Unit cell a=3.835 b=3.835 c=7.433 alpha=75.05 beta=75.05 gamma=90.00
Sites, in units of the cell vectors:
1 Hg 0.610 0.610 0.779
2 Ge 0.000 0.000 0.000
3 Hg 0.390 0.390 0.221
4 Li 0.250 0.750 0.500
5 Li 0.750 0.250 0.500

Values from the calculation:
For the formation enthalpy at 0 K, the calculation gives -0.044 eV/atom. The value obtained for the energy above the lowest structure with this stoichiometry is 0.135 eV per atom. The value obtained for the total magnetic moment is 0.00 μB/f.u. The calculation puts the total energy at -1.854 eV per atom. As for the space-group type: I4/mmm. The volume comes out at 101.8 Å³/cell.

---

# 3
In2HgW after structural relaxation. Source: Alexandria, functional PBE.

Unit cell a=5.764 b=5.764 c=5.215 alpha=79.38 beta=79.38 gamma=29.60
Sites, in units of the cell vectors:
1 W 0.519 0.519 0.547
2 In 0.779 0.779 0.688
3 In 0.983 0.983 0.049
4 Hg 0.219 0.219 0.216

Values from the calculation:
For the formation enthalpy at 0 K, the calculation gives 0.530 eV/atom. The value obtained for the total magnetic moment is 0.00 μB/f.u. The calculation puts the total energy at -4.153 eV per atom. As for the space-group type: Cm. The volume comes out at 84.0 Å³/cell.

---

# 4
ZrZn2Hg after structural relaxation. Source: Alexandria, functional PBE.

Unit cell a=3.156 b=3.154 c=7.531 alpha=90.00 beta=90.00 gamma=90.00
Sites, in units of the cell vectors:
1 Zn 0.000 0.000 0.998
2 Zn 0.000 0.000 0.502
3 Hg 0.500 0.500 0.750
4 Zr 0.500 0.500 0.250

Values from the calculation:
For the formation enthalpy at 0 K, the calculation gives -0.094 eV/atom. The value obtained for the total magnetic moment is 0.00 μB/f.u. The calculation puts the total energy at -2.944 eV per atom. As for the space-group type: P4/mmm. The volume comes out at 74.9 Å³/cell.

---

# 5
GaCu2Hg2 after structural relaxation. Source: Alexandria, functional PBE.

Unit cell a=8.053 b=8.053 c=2.864 alpha=90.00 beta=90.00 gamma=90.00
Sites, in units of the cell vectors:
1 Cu 0.888 0.388 0.500
2 Hg 0.317 0.817 0.000
3 Ga 0.000 0.000 0.000
4 Cu 0.612 0.888 0.500
5 Cu 0.388 0.112 0.500
6 Hg 0.683 0.183 0.000
7 Hg 0.817 0.683 0.000
8 Ga 0.500 0.500 0.000
9 Cu 0.112 0.612 0.500
10 Hg 0.183 0.317 0.000

Values from the calculation:
For the formation enthalpy at 0 K, the calculation gives 0.204 eV/atom. The value obtained for the energy above the lowest structure with this stoichiometry is 0.055 eV per atom. The value obtained for the total magnetic moment is 0.00 μB/f.u. The calculation puts the total energy at -2.160 eV per atom. As for the space-group type: P4/mbm. The volume comes out at 185.7 Å³/cell.

---

# 6
PuTh2Hg after structural relaxation. Source: Alexandria, functional PBE.

Unit cell a=5.397 b=5.397 c=5.397 alpha=60.00 beta=60.00 gamma=60.00
Sites, in units of the cell vectors:
1 Pu 0.000 0.000 0.000
2 Hg 0.500 0.500 0.500
3 Th 0.250 0.250 0.250
4 Th 0.750 0.750 0.750

Values from the calculation:
For the formation enthalpy at 0 K, the calculation gives 0.021 eV/atom. The value obtained for the energy above the lowest structure with this stoichiometry is 0.106 eV per atom. The value obtained for the total magnetic moment is 7.45 μB/f.u. The calculation puts the total energy at -7.347 eV per atom. As for the space-group type: Fm-3m. The volume comes out at 111.2 Å³/cell.

---

# 7
NdY5Ho12 after structural relaxation. Source: Alexandria, functional PBE.

Unit cell a=6.160 b=6.160 c=17.371 alpha=86.61 beta=86.61 gamma=119.99
Sites, in units of the cell vectors:
1 Ho 0.889 0.889 0.332
2 Y 0.500 0.500 0.500
3 Ho 0.278 0.278 0.168
4 Y 0.333 0.667 0.000
5 Y 0.834 0.166 0.500
6 Ho 0.056 0.389 0.832
7 Y 0.166 0.834 0.500
8 Nd 0.000 0.000 0.000
9 Ho 0.944 0.611 0.168
10 Y 0.667 0.333 0.000
11 Ho 0.722 0.722 0.832
12 Ho 0.556 0.222 0.332
13 Ho 0.611 0.944 0.168
14 Ho 0.222 0.556 0.332
15 Ho 0.389 0.056 0.832
16 Ho 0.778 0.444 0.668
17 Ho 0.111 0.111 0.668
18 Ho 0.444 0.778 0.668

Values from the calculation:
For the formation enthalpy at 0 K, the calculation gives 0.011 eV/atom. The value obtained for the total magnetic moment is 0.00 μB/f.u. The calculation puts the total energy at -5.102 eV per atom. As for the space-group type: C2/m. The volume comes out at 566.8 Å³/cell.

---

# 8
Ce4TmTh5 after structural relaxation. Source: Alexandria, functional PBE.

Unit cell a=8.489 b=6.699 c=11.470 alpha=90.00 beta=90.00 gamma=90.00
Sites, in units of the cell vectors:
1 Th 0.644 0.254 0.347
2 Ce 0.293 0.782 0.500
3 Ce 0.015 0.000 0.742
4 Tm 0.069 0.000 0.000
5 Th 0.077 0.500 0.000
6 Th 0.356 0.754 0.847
7 Th 0.356 0.754 0.153
8 Ce 0.707 0.282 0.000
9 Th 0.644 0.254 0.653
10 Ce 0.293 0.218 0.500
11 Ce 0.985 0.500 0.242
12 Th 0.644 0.746 0.347
13 Th 0.356 0.246 0.153
14 Ce 0.985 0.500 0.758
15 Ce 0.707 0.718 0.000
16 Th 0.644 0.746 0.653
17 Th 0.923 0.000 0.500
18 Th 0.356 0.246 0.847
19 Tm 0.931 0.500 0.500
20 Ce 0.015 0.000 0.258

Values from the calculation:
For the formation enthalpy at 0 K, the calculation gives 0.402 eV/atom. The value obtained for the energy above the lowest structure with this stoichiometry is 0.387 eV per atom. The value obtained for the total magnetic moment is 2.20 μB/f.u. The calculation puts the total energy at -6.128 eV per atom. As for the space-group type: Pmmn. The volume comes out at 652.3 Å³/cell.

---

# 9
LiTbIrRh after structural relaxation. Source: Alexandria, functional PBE.

Unit cell a=4.566 b=4.566 c=4.566 alpha=60.00 beta=60.00 gamma=60.00
Sites, in units of the cell vectors:
1 Tb 0.500 0.500 0.500
2 Li 0.000 0.000 0.000
3 Ir 0.750 0.750 0.750
4 Rh 0.250 0.250 0.250

Values from the calculation:
For the formation enthalpy at 0 K, the calculation gives -0.386 eV/atom. The value obtained for the total magnetic moment is 0.00 μB/f.u. The calculation puts the total energy at -6.076 eV per atom. As for the space-group type: F-43m. The volume comes out at 67.3 Å³/cell.

---

# 10
Tl2GaCl after structural relaxation. Source: Alexandria, functional PBE.

Unit cell a=6.382 b=6.382 c=8.555 alpha=68.10 beta=68.10 gamma=90.00
Sites, in units of the cell vectors:
1 Tl 0.665 0.125 0.250
2 Tl 0.875 0.915 0.750
3 Tl 0.085 0.625 0.250
4 Ga 0.750 0.250 0.500
5 Ga 0.000 0.000 0.000
6 Cl 0.250 0.750 0.500
7 Cl 0.500 0.500 0.000
8 Tl 0.375 0.335 0.750

Values from the calculation:
The calculation puts the uncorrected formation energy at -0.6 eV per formula unit. The value obtained for the energy above the lowest structure with this stoichiometry is 0.000 eV per atom. The value obtained for the total magnetic moment is 0.00 μB/f.u. The calculation puts the total energy at -2.560 eV per atom. As for the space-group type: I-42d. The volume comes out at 296.1 Å³/cell.

---

# 11
Ho6Tl2Pb after structural relaxation. Source: Alexandria, functional PBE.

Unit cell a=5.155 b=7.306 c=8.934 alpha=114.14 beta=106.78 gamma=90.00
Sites, in units of the cell vectors:
1 Pb 0.000 0.000 0.000
2 Ho 0.500 0.255 0.000
3 Ho 0.832 0.084 0.663
4 Ho 0.168 0.916 0.337
5 Ho 0.168 0.421 0.337
6 Tl 0.667 0.667 0.334
7 Ho 0.500 0.745 0.000
8 Ho 0.832 0.579 0.663
9 Tl 0.333 0.333 0.666

Values from the calculation:
For the formation enthalpy at 0 K, the calculation gives -0.088 eV/atom. The value obtained for the total magnetic moment is 0.00 μB/f.u. The calculation puts the total energy at -4.077 eV per atom. As for the space-group type: Immm. The volume comes out at 291.3 Å³/cell.

---

# 12
Mn2HRhW after structural relaxation. Source: Alexandria, functional PBE.

Unit cell a=3.762 b=3.762 c=3.862 alpha=90.00 beta=90.00 gamma=90.00
Sites, in units of the cell vectors:
1 Mn 0.500 0.000 0.000
2 H 0.000 0.000 0.000
3 Mn 0.000 0.500 0.000
4 W 0.000 0.000 0.500
5 Rh 0.500 0.500 0.500

Values from the calculation:
The value obtained for the energy above the lowest structure with this stoichiometry is 0.030 eV per atom. The value obtained for the total magnetic moment is 1.94 μB/f.u. The calculation puts the total energy at -8.386 eV per atom. As for the space-group type: P4/mmm. The volume comes out at 54.7 Å³/cell.

---

# 13
Hf2TlMo2 after structural relaxation. Source: Alexandria, functional PBE.

Unit cell a=7.709 b=7.709 c=3.428 alpha=90.00 beta=90.00 gamma=90.00
Sites, in units of the cell vectors:
1 Tl 0.500 0.500 0.000
2 Hf 0.312 0.188 0.500
3 Mo 0.395 0.895 0.000
4 Hf 0.812 0.312 0.500
5 Mo 0.895 0.605 0.000
6 Mo 0.105 0.395 0.000
7 Mo 0.605 0.105 0.000
8 Hf 0.188 0.688 0.500
9 Hf 0.688 0.812 0.500
10 Tl 0.000 0.000 0.000

Values from the calculation:
For the formation enthalpy at 0 K, the calculation gives 0.216 eV/atom. The value obtained for the total magnetic moment is 0.00 μB/f.u. The calculation puts the total energy at -8.571 eV per atom. As for the space-group type: P4/mbm. The volume comes out at 203.8 Å³/cell.

---

# 14
BaMn3W after structural relaxation. Source: Alexandria, functional PBE.

Unit cell a=4.941 b=4.941 c=4.941 alpha=90.00 beta=90.00 gamma=90.00
Sites, in units of the cell vectors:
1 W 0.000 0.000 0.000
2 Mn 0.500 0.000 0.000
3 Mn 0.000 0.000 0.500
4 Ba 0.500 0.500 0.500
5 Mn 0.000 0.500 0.000

Values from the calculation:
For the formation enthalpy at 0 K, the calculation gives 0.934 eV/atom. The value obtained for the energy above the lowest structure with this stoichiometry is 0.000 eV per atom. The value obtained for the total magnetic moment is 9.52 μB/f.u. The calculation puts the total energy at -7.543 eV per atom. As for the space-group type: Pm-3m. The volume comes out at 120.6 Å³/cell.

---

# 15
LiGeTe4 after structural relaxation. Source: Alexandria, functional PBE.

Unit cell a=6.172 b=8.793 c=7.405 alpha=90.00 beta=90.00 gamma=70.44
Sites, in units of the cell vectors:
1 Ge 0.000 0.750 0.255
2 Li 0.500 0.750 0.803
3 Te 0.772 0.969 0.007
4 Te 0.254 0.375 0.541
5 Ge 0.000 0.250 0.745
6 Te 0.772 0.469 0.993
7 Te 0.228 0.531 0.007
8 Te 0.254 0.875 0.459
9 Te 0.746 0.625 0.459
10 Te 0.746 0.125 0.541
11 Te 0.228 0.031 0.993
12 Li 0.500 0.250 0.197

Values from the calculation:
The calculation puts the uncorrected formation energy at -1.1 eV per formula unit. The value obtained for the total magnetic moment is 0.00 μB/f.u. The calculation puts the total energy at -3.359 eV per atom. As for the space-group type: P2/c. The volume comes out at 378.7 Å³/cell.

---

# 16
BaSrMn2 after structural relaxation. Source: Alexandria, functional PBE.

Unit cell a=3.759 b=3.754 c=9.232 alpha=90.00 beta=90.00 gamma=90.00
Sites, in units of the cell vectors:
1 Sr 0.000 0.000 0.423
2 Mn 0.500 0.500 0.184
3 Ba 0.500 0.500 0.820
4 Mn 0.000 0.000 0.073

Values from the calculation:
For the formation enthalpy at 0 K, the calculation gives 0.576 eV/atom. The value obtained for the energy above the lowest structure with this stoichiometry is 0.193 eV per atom. The value obtained for the total magnetic moment is 7.99 μB/f.u. The calculation puts the total energy at -4.910 eV per atom. As for the space-group type: P4mm. The volume comes out at 130.3 Å³/cell.

---

# 17
Nd3Dy2Zn3 after structural relaxation. Source: Alexandria, functional PBE.

Unit cell a=3.682 b=5.324 c=11.349 alpha=103.57 beta=99.33 gamma=90.00
Sites, in units of the cell vectors:
1 Dy 0.730 0.230 0.460
2 Zn 0.000 0.500 0.000
3 Zn 0.881 0.881 0.762
4 Nd 0.619 0.619 0.238
5 Nd 0.500 0.000 0.000
6 Nd 0.381 0.381 0.762
7 Dy 0.270 0.770 0.540
8 Zn 0.119 0.119 0.238

Values from the calculation:
For the formation enthalpy at 0 K, the calculation gives -0.232 eV/atom. The value obtained for the total magnetic moment is 0.00 μB/f.u. The calculation puts the total energy at -3.648 eV per atom. As for the space-group type: Immm. The volume comes out at 213.2 Å³/cell.

---

# 18
AcLa5Pb4 after structural relaxation. Source: Alexandria, functional PBE.

Unit cell a=5.765 b=7.557 c=11.837 alpha=130.29 beta=104.09 gamma=90.00
Sites, in units of the cell vectors:
1 La 0.500 0.500 0.000
2 Pb 0.010 0.276 0.019
3 La 0.835 0.680 0.669
4 Pb 0.990 0.724 0.981
5 La 0.167 0.848 0.334
6 Ac 0.500 0.000 0.000
7 Pb 0.323 0.897 0.645
8 La 0.833 0.152 0.666
9 Pb 0.677 0.103 0.355
10 La 0.165 0.320 0.331

Values from the calculation:
For the formation enthalpy at 0 K, the calculation gives -0.438 eV/atom. The value obtained for the total magnetic moment is 0.01 μB/f.u. The calculation puts the total energy at -4.796 eV per atom. As for the space-group type: C2/m. The volume comes out at 372.8 Å³/cell.

---

# 19
BiMoAuS2 after structural relaxation. Source: Alexandria, functional PBE.

Unit cell a=5.264 b=5.299 c=5.264 alpha=90.00 beta=90.00 gamma=90.00
Sites, in units of the cell vectors:
1 Au 0.000 0.500 0.000
2 Mo 0.500 0.500 0.500
3 Bi 0.000 0.000 0.000
4 S 0.500 0.000 0.000
5 S 0.000 0.000 0.500

Values from the calculation:
The calculation puts the uncorrected formation energy at 6.0 eV per formula unit. The value obtained for the total magnetic moment is 4.08 μB/f.u. The calculation puts the total energy at -4.042 eV per atom. As for the space-group type: P4/mmm. The volume comes out at 146.9 Å³/cell.

---

# 20
SiNi2W after structural relaxation. Source: Alexandria, functional PBE.

Unit cell a=4.520 b=4.520 c=2.686 alpha=90.00 beta=90.00 gamma=111.73
Sites, in units of the cell vectors:
1 W 0.000 0.500 0.500
2 Ni 0.000 0.000 0.000
3 Si 0.500 0.000 0.500
4 Ni 0.500 0.500 0.000

Values from the calculation:
The calculation puts the uncorrected formation energy at -0.1 eV per formula unit. The value obtained for the total magnetic moment is 0.00 μB/f.u. The calculation puts the total energy at -7.507 eV per atom. As for the space-group type: Cmmm. The volume comes out at 51.0 Å³/cell.